The following is a PBE calculation of an optimized crystal structure of La8GaIr3Br4, from Alexandria via LeMat-Bulk. Values from VASP.

Calculated values
Symmetry ... R-3m, No. 166
Crystal system ... trigonal
Formation energy without anion corrections ... -1.139 eV per atom
VASP energy ... -5.87 eV per atom

```
&SYSTEM
  ibrav = 0, nat = 16, ntyp = 4
/
ATOMIC_SPECIES
La 138.91 La.upf
Br 79.90 Br.upf
Ir 192.22 Ir.upf
Ga 69.72 Ga.upf
CELL_PARAMETERS angstrom
8.569 0.000 0.000
0.000 9.252 0.479
-4.284 -4.286 6.060
ATOMIC_POSITIONS crystal
La 0.760 0.303 0.043
Br 0.500 0.000 0.000
La 0.760 0.303 0.520
Ir 0.000 0.500 0.500
La 0.266 0.298 0.532
Br 0.500 0.000 0.500
Ir 0.500 0.500 0.500
La 0.283 0.303 0.043
La 0.240 0.697 0.480
Ir 0.500 0.500 0.000
La 0.240 0.697 0.957
Br 0.000 0.000 0.500
Br 0.000 0.000 0.000
La 0.717 0.697 0.957
La 0.734 0.702 0.468
Ga 0.000 0.500 0.000
```

=====

The following is a PBE calculation of an optimized crystal structure of La4GaIrBr2, from Alexandria via LeMat-Bulk. Values from VASP.

Calculated values
Symmetry ... P2/m, No. 10
Crystal system ... monoclinic
Formation energy without anion corrections ... -1.066 eV per atom
VASP energy ... -5.43 eV per atom

```
&SYSTEM
  ibrav = 0, nat = 8, ntyp = 4
/
ATOMIC_SPECIES
La 138.91 La.upf
Br 79.90 Br.upf
Ga 69.72 Ga.upf
Ir 192.22 Ir.upf
CELL_PARAMETERS angstrom
-4.162 -0.718 0.772
1.502 -0.733 7.421
-1.607 7.800 -1.411
ATOMIC_POSITIONS crystal
La 0.500 0.773 0.796
Br 0.500 0.000 0.500
La 0.500 0.227 0.204
Br 0.000 0.500 0.500
La 0.000 0.762 0.205
Ga 0.500 0.500 0.000
Ir 0.000 0.000 0.000
La 0.000 0.238 0.795
```

=====

The following is a PBE calculation of an optimized crystal structure of GaIrBr2N, from Alexandria via LeMat-Bulk. Values from VASP.

Calculated values
Symmetry ... P4/mmm, No. 123
Crystal system ... tetragonal
Formation energy without anion corrections ... 0.129 eV per atom
VASP energy ... -4.58 eV per atom

```
&SYSTEM
  ibrav = 0, nat = 5, ntyp = 4
/
ATOMIC_SPECIES
Br 79.90 Br.upf
N 14.01 N.upf
Ir 192.22 Ir.upf
Ga 69.72 Ga.upf
CELL_PARAMETERS angstrom
-1.894 5.030 -0.969
-3.465 -1.313 -0.043
-0.402 0.884 5.374
ATOMIC_POSITIONS crystal
Br 0.500 0.000 0.000
Br 0.000 0.000 0.500
N 0.000 0.500 0.000
Ir 0.000 0.000 0.000
Ga 0.500 0.500 0.500
```

=====

Question: Which of these has the highest VASP energy?
Answer: GaIrBr2N